First-principles (PBE) data for a geometry-optimized BaPt4Pb structure, as listed in Alexandria.

DOS at the Fermi energy, states/eV/atom: 0.5348
Space group: F-43m, No. 216
Formation energy, eV per atom: -0.469
E, eV/atom: -5.44

Cell lengths 5.603, 5.603, 5.603 Å; angles 60.00, 60.00, 60.00 degrees
Atoms (fractional coordinates):
Pt: 0.626 0.626 0.626
Pt: 0.626 0.123 0.626
Pb: 0.000 0.000 0.000
Pt: 0.626 0.626 0.123
Ba: 0.250 0.250 0.250
Pt: 0.123 0.626 0.626